# 1
Rb2GaRhF6: relaxed, PBE.

```
Rb2GaRhF6
1.0
0.000 4.339 4.339
4.339 0.000 4.339
4.339 4.339 0.000
Rb Ga Rh F
2 1 1 6
Cartesian
2.169 2.169 2.169
6.508 6.508 6.508
0.000 0.000 0.000
4.339 4.339 4.339
4.339 4.339 1.933
4.339 1.933 4.339
6.745 4.339 4.339
1.933 4.339 4.339
4.339 6.745 4.339
4.339 4.339 6.745
```

Its space group is Fm-3m (225). As for the total energy: -4.58 eV per atom. The volume comes out at 16.34 Å³/atom. Its total magnetization is 2.00 μB/f.u.

***

# 2
CaMgZr: relaxed, PBE.

```
CaMgZr
1.0
3.327 0.000 0.000
0.000 5.055 0.000
-1.651 0.000 9.892
Ca Mg Zr
2 2 2
Cartesian
0.000 0.000 0.000
0.019 0.000 3.635
1.675 2.527 1.768
1.679 2.527 5.527
0.010 0.000 6.932
0.013 2.527 8.160
```

Its space group is Pm (6). As for the total energy: -3.87 eV per atom. The volume comes out at 27.73 Å³/atom. As for the formation energy: 0.1761 eV/atom. The offset from the most stable computed form comes out at 0.130 eV/atom. Its total magnetization is 0.00 μB/f.u.

***

# 3
Mn2AsBr: relaxed, PBE.

```
Mn2AsBr
1.0
4.158 0.000 0.000
0.000 5.210 0.000
0.000 0.000 7.158
Mn As Br
4 2 2
Cartesian
0.000 0.000 1.483
0.000 0.000 5.675
2.079 2.605 1.483
2.079 2.605 5.675
0.000 2.605 0.000
2.079 0.000 0.000
0.000 2.605 3.579
2.079 0.000 3.579
```

Its space group is Cmmm (65). As for the total energy: -6.02 eV per atom. The volume comes out at 19.38 Å³/atom. The offset from the most stable computed form comes out at 0.224 eV/atom. Its total magnetization is 8.07 μB/f.u.

***

# 4
GdAl2Si: relaxed, PBE.

```
GdAl2Si
1.0
4.315 0.000 0.000
-2.158 3.737 0.000
0.000 0.000 15.324
Gd Al Si
3 6 3
Cartesian
0.000 0.000 0.000
0.000 2.491 10.216
2.158 1.246 5.108
0.000 0.000 3.234
0.000 0.000 12.090
0.000 2.491 6.982
0.000 2.491 13.449
2.158 1.246 1.874
2.158 1.246 8.341
0.000 0.000 7.662
0.000 2.491 2.554
2.158 1.246 12.770
```

Its space group is R-3m (166). As for the total energy: -6.95 eV per atom. The volume comes out at 20.59 Å³/atom. Its total magnetization is 6.99 μB/f.u.

***

# 5
BeRuCl2: relaxed, PBE.

```
BeRuCl2
1.0
3.096 0.000 0.000
0.000 3.096 0.000
0.000 0.000 7.571
Be Ru Cl
1 1 2
Cartesian
0.000 0.000 0.000
1.548 1.548 6.629
0.000 0.000 4.950
1.548 1.548 1.422
```

Its space group is P4mm (99). As for the total energy: -4.16 eV per atom. The volume comes out at 18.14 Å³/atom. The offset from the most stable computed form comes out at 0.248 eV/atom. Its total magnetization is 1.53 μB/f.u.

***

# 6
BeRuPt2: relaxed, PBE.

```
BeRuPt2
1.0
3.168 0.000 0.000
0.000 4.186 0.000
0.000 0.000 8.174
Be Ru Pt
2 2 4
Cartesian
0.000 0.000 0.000
1.584 2.093 4.087
0.000 0.000 4.087
1.584 2.093 0.000
0.000 2.093 2.301
0.000 2.093 5.874
1.584 0.000 1.786
1.584 0.000 6.388
```

Its space group is Immm (71). As for the total energy: -6.42 eV per atom. The volume comes out at 13.55 Å³/atom. As for the formation energy: -0.1468 eV/atom. Its total magnetization is 0.00 μB/f.u.

***

# 7
ThGePd: relaxed, PBE.

```
ThGePd
1.0
4.456 0.000 0.000
-2.228 3.859 0.000
0.000 0.000 3.788
Th Ge Pd
1 1 1
Cartesian
0.000 0.000 0.000
2.228 1.286 1.876
0.000 2.573 1.904
```

Its space group is P3m1 (156). As for the total energy: -6.67 eV per atom. The volume comes out at 21.72 Å³/atom. As for the formation energy: -0.9252 eV/atom. Its total magnetization is 0.00 μB/f.u.

***

# 8
LaSn3Pt3: relaxed, PBE.

```
LaSn3Pt3
1.0
7.284 0.000 0.000
0.000 7.284 0.000
0.000 0.000 7.284
La Sn Pt
2 6 6
Cartesian
0.000 0.000 0.000
3.642 3.642 3.642
0.000 1.821 3.642
0.000 5.463 3.642
1.821 3.642 0.000
3.642 0.000 1.821
3.642 0.000 5.463
5.463 3.642 0.000
0.000 3.642 1.821
0.000 3.642 5.463
1.821 0.000 3.642
3.642 1.821 0.000
3.642 5.463 0.000
5.463 0.000 3.642
```

Its space group is Pm-3n (223). As for the total energy: -5.38 eV per atom. The volume comes out at 27.61 Å³/atom. As for the formation energy: -0.3759 eV/atom. The offset from the most stable computed form comes out at 0.261 eV/atom. Its total magnetization is 0.13 μB/f.u.